A relaxed structure of YAlRe. Source: the Alexandria database, functional PBE.

Formation enthalpy at 0 K, eV per formula unit: 1.36
Uncorrected energy, eV/atom: -7.097
Space group: F-43m (216)

Structure (POSCAR):
```
YAlRe
1.0
0.000 3.216 3.216
3.216 0.000 3.216
3.216 3.216 0.000
Y Al Re
1 1 1
Direct
0.000 0.000 0.000 Y
0.500 0.500 0.500 Al
0.250 0.250 0.250 Re
```